1.
AlRu3N PBE relaxed; ΔE_f (raw) = -42 kJ/mol of formula units; E_tot = -8.07 eV per atom; magnetic moment = 0.0 μB per cell; calculated volume = 12.91 A^3/atom
1.0
4.0111 0.0000 0.0000
0.0000 4.0111 0.0000
0.0000 0.0000 4.0111
Al Ru N
1 3 1
direct
0.0000 0.0000 0.0000
0.0000 0.5000 0.5000
0.5000 0.0000 0.5000
0.5000 0.5000 0.0000
0.5000 0.5000 0.5000

=====

2.
SrAl11Os PBE relaxed; E_tot = -4.35 eV per atom; magnetic moment = 0.0 μB per cell; E_form = -186 meV per atom; calculated volume = 17.60 A^3/atom
1.0
2.6451 -6.3921 0.0000
2.6451 6.3921 0.0000
-2.5459 0.0000 6.7650
Sr Al Os
1 11 1
direct
0.0000 0.0000 0.0000
0.0000 0.0000 0.5000
0.0000 0.5000 0.0000
0.0163 0.3630 0.3621
0.2810 0.5009 0.7701
0.3630 0.0163 0.3621
0.4991 0.7190 0.2299
0.5000 0.0000 0.0000
0.5009 0.2810 0.7701
0.6370 0.9837 0.6379
0.7190 0.4991 0.2299
0.9837 0.6370 0.6379
0.5000 0.5000 0.5000

=====

3.
Sr2Zn2Ir PBE relaxed; E_tot = -3.23 eV per atom; magnetic moment = 0.0 μB per cell; E_form = -280 meV per atom; calculated volume = 26.79 A^3/atom
1.0
5.8195 -2.1447 0.0000
5.8195 2.1447 0.0000
-5.0188 0.0000 10.7317
Sr Zn Ir
4 4 2
direct
0.0932 0.0932 0.3810
0.2970 0.2970 0.8692
0.7030 0.7030 0.1308
0.9068 0.9068 0.6190
0.0368 0.0368 0.9094
0.3825 0.3825 0.3744
0.6175 0.6175 0.6256
0.9632 0.9632 0.0906
0.4295 0.4295 0.1878
0.5705 0.5705 0.8122